Entry 1:
Entry from the Alexandria database: a relaxed structure of SmPd2Au6 (PBE-GGA).

Structure (extended XYZ):
```
9
Lattice="3.0890 0.0000 0.0000 1.5445 7.9627 1.4007 1.5445 2.9448 7.5296" Properties=species:S:1:pos:R:3 pbc="T T T"
Sm 0.0000 0.0000 0.0000
Pd 4.6336 7.0876 5.8027
Pd 1.5445 3.8200 3.1275
Au 3.0890 1.9271 4.8866
Au 3.0890 8.9804 4.0437
Au 3.0890 5.7367 8.0056
Au 3.0890 6.3123 3.4166
Au 3.0890 4.5953 5.5137
Au 3.0890 5.1709 0.9247
```

The value obtained for the formation energy is -0.23 eV/atom. For the offset from the most stable computed form, the calculation gives 120 meV per atom.


Entry 2:
Entry from the Alexandria database: a relaxed structure of Sm3PdAu3 (PBE-GGA).

Structure (extended XYZ):
```
7
Lattice="4.4422 0.0000 -0.9691 -0.1884 3.7179 -0.8637 -0.0830 0.4210 10.2853" Properties=species:S:1:pos:R:3 pbc="T T T"
Sm 1.2067 3.3100 5.5311
Sm 2.9818 0.8486 3.0025
Sm 4.1500 4.1157 8.3572
Pd 1.7618 1.9653 8.0757
Au 0.5483 2.5757 2.5134
Au 3.6382 1.5808 6.0114
Au 2.3964 2.1596 0.3191
```

The value obtained for the formation energy is -0.80 eV/atom.


Entry 3:
Entry from the Alexandria database: a relaxed structure of Sm2Pd7Au3 (PBE-GGA).

Structure (extended XYZ):
```
12
Lattice="4.0947 1.7198 -1.4038 1.7916 6.2760 -2.3878 -3.8154 -5.1469 12.3975" Properties=species:S:1:pos:R:3 pbc="T T T"
Sm 1.0519 -2.1784 8.1380
Sm 1.0190 5.0273 0.4679
Pd -1.9076 -0.7209 7.9368
Pd 0.4076 2.6732 4.7615
Pd 1.7916 6.2760 -2.3878
Pd 3.9785 3.5698 0.6691
Pd 1.6384 2.2258 -0.1162
Pd 0.4324 0.6232 8.7221
Pd 1.6633 0.1757 3.8444
Au 2.9432 3.9979 -1.8958
Au 2.1667 3.1215 2.7125
Au -0.0959 -0.2726 5.8934
```

The value obtained for the formation energy is -0.51 eV/atom.